A plane-wave DFT calculation with PBE was carried out for CaCrTc2 after structural relaxation.

Output
ΔE_f ... 0.49 eV per atom
Magnetic moment ... 0.3 μB per formula unit
E ... -7.600 eV/atom
Crystal system ... tetragonal

Cell lengths 3.1230, 3.1230, 7.1971 Å; angles 90.00, 90.00, 90.00 degrees
Closest atoms and distances in Å follow each position.
Sites, in units of the cell vectors:
Ca1 0.0000 0.0000 0.0000  4 Ca 3.12, 5 Tc 3.15-3.48, 4 Cr 3.20
Cr1 0.5000 0.5000 0.3218  5 Tc 2.50-2.64
Tc1 0.0000 0.0000 0.4841  4 Cr 2.50, 4 Tc 2.65
Tc2 0.5000 0.5000 0.6884  1 Cr 2.64, 4 Tc 2.65